No. 1
## OsC2 (GGA-PBE)

Data for a geometry-optimized OsC2 structure.

ΔH_f (0 K), meV per atom: 878

abc: 8.0900 8.0900 8.0900
angles: 160.87 160.87 27.19
With the nearest neighbours (Å) after each atom.
Fractional positions:
C  0.6486  0.6486  0.0000  2 C 1.54
C  0.1014  0.6014  0.5000  2 C 1.54
C  0.3986  0.8986  0.5000  2 C 1.54
C  0.3514  0.3514  0.0000  2 C 1.54
Os  0.7500  0.2500  0.5000  4 C 2.09
Os  0.0000  0.0000  0.0000  4 C 2.09

No. 2
## Cs3KBr2Cl6 (GGA-PBE)

Data for a geometry-optimized Cs3KBr2Cl6 structure.

Energy relative to the elements, uncorrected, eV per formula unit: -12.7

abc: 8.8802 8.8802 8.9760
angles: 90.00 90.00 120.00
With the nearest neighbours (Å) after each atom.
Fractional positions:
Cl  0.1544  0.3088  0.2854  1 Br 2.81, 1 K 3.06
Cl  0.3088  0.1544  0.7146  1 Br 2.81, 1 K 3.06
Cl  0.1544  0.8456  0.2854  1 Br 2.81, 1 K 3.06
Cl  0.8456  0.6912  0.7146  1 Br 2.81, 1 K 3.06
Cl  0.6912  0.8456  0.2854  1 Br 2.81, 1 K 3.06
Cl  0.8456  0.1544  0.7146  1 Br 2.81, 1 K 3.06
Cs  0.6667  0.3333  0.3798  1 Br 3.57
Cs  0.0000  0.0000  0.0000  6 Cl 3.49
Cs  0.3333  0.6667  0.6202  1 Br 3.57
K  0.0000  0.0000  0.5000  6 Cl 3.06
Br  0.6667  0.3333  0.7771  3 Cl 2.81
Br  0.3333  0.6667  0.2229  3 Cl 2.81

No. 3
## Ho8CuSn2 (GGA-PBE)

Data for a geometry-optimized Ho8CuSn2 structure.

ΔH_f (0 K), meV per atom: -299

abc: 4.9669 6.6701 9.8209
angles: 103.69 104.65 90.00
With the nearest neighbours (Å) after each atom.
Fractional positions:
Ho  0.5918  0.4705  0.1836  1 Cu 3.20, 2 Sn 3.35, 4 Ho 3.41-3.56
Ho  0.2154  0.3171  0.4309  3 Sn 3.16-3.27, 4 Ho 3.32-3.50
Ho  0.9822  0.2188  0.9645  2 Cu 2.94, 1 Ho 3.15, 1 Sn 3.17
Ho  0.4082  0.5295  0.8164  1 Cu 3.20, 2 Sn 3.35, 4 Ho 3.41-3.56
Ho  0.6477  0.9985  0.2954  1 Cu 2.81, 2 Sn 3.11
Ho  0.3523  0.0015  0.7046  1 Cu 2.81, 2 Sn 3.11
Ho  0.7846  0.6829  0.5691  3 Sn 3.16-3.27, 4 Ho 3.32-3.50
Ho  0.0178  0.7812  0.0355  2 Cu 2.94, 1 Ho 3.15, 1 Sn 3.17
Sn  0.8178  0.2414  0.6356  9 Ho 3.11-3.35
Sn  0.1822  0.7586  0.3644  9 Ho 3.11-3.35
Cu  0.5000  0.0000  0.0000  6 Ho 2.81-2.94

No. 4
## Na4Y3PtO8 (GGA-PBE)

Data for a geometry-optimized Na4Y3PtO8 structure.

Energy relative to the elements, uncorrected, eV per formula unit: -36.0

abc: 6.6346 6.7470 6.7852
angles: 118.85 119.27 90.00
With the nearest neighbours (Å) after each atom.
Fractional positions:
Na  0.5000  0.0000  0.0000  2 O 2.32
Na  0.5000  0.0000  0.5000  6 O 2.47-2.62
Na  0.0000  0.0000  0.0000  6 O 2.45-2.66
Na  0.0000  0.0000  0.5000  6 O 2.47-2.62
O  0.2660  0.7446  0.5320  2 Y 2.27, 3 Na 2.32-2.47
O  0.2460  0.2951  0.0274  1 Pt 2.14, 2 Y 2.31-2.34
O  0.7340  0.2554  0.4680  2 Y 2.27, 3 Na 2.32-2.47
O  0.7540  0.7049  0.9726  1 Pt 2.14, 2 Y 2.31-2.34
O  0.7310  0.7101  0.4620  3 Y 2.27-2.28, 2 Na 2.48
O  0.2186  0.7049  0.9726  1 Pt 2.14, 2 Y 2.31-2.34
O  0.2690  0.2899  0.5380  3 Y 2.27-2.28, 2 Na 2.48
O  0.7814  0.2951  0.0274  1 Pt 2.14, 2 Y 2.31-2.34
Y  0.5000  0.5000  0.5000  6 O 2.27-2.34
Y  0.5000  0.5000  0.0000  6 O 2.28-2.31
Y  0.0000  0.5000  0.5000  6 O 2.27-2.34
Pt  0.0000  0.5000  0.0000  4 O 2.14

No. 5
## LaTa2Rh (GGA-PBE)

Data for a geometry-optimized LaTa2Rh structure.

ΔH_f (0 K), meV per atom: 238

abc: 5.7755 5.7755 2.9791
angles: 81.10 81.10 122.82
With the nearest neighbours (Å) after each atom.
Fractional positions:
Rh  0.5000  0.5000  0.5000  2 La 2.76, 2 Rh 2.98, 4 Ta 3.04
La  0.0000  0.0000  0.5000  2 Rh 2.76, 2 La 2.98, 4 Ta 3.04
Ta  0.5000  0.0000  0.0000  4 Ta 2.76-2.98, 2 Rh 3.04, 2 La 3.04
Ta  0.0000  0.5000  0.0000  4 Ta 2.76-2.98, 2 Rh 3.04, 2 La 3.04

No. 6
## Tm7PtSe5 (GGA-PBE)

Data for a geometry-optimized Tm7PtSe5 structure.

Energy relative to the elements, uncorrected, eV per formula unit: -19.7

abc: 3.9136 6.8789 24.0671
angles: 90.00 90.00 106.53
With the nearest neighbours (Å) after each atom.
Fractional positions:
Pt  0.1948  0.3896  0.7503  6 Tm 2.82-2.89
Pt  0.8057  0.6115  0.2503  6 Tm 2.82-2.89
Tm  0.6385  0.2769  0.4619  6 Se 2.76-2.84
Tm  0.0921  0.1842  0.6198  5 Se 2.82-3.13
Tm  0.6395  0.2790  0.0382  6 Se 2.76-2.84
Tm  0.2028  0.4056  0.3184  3 Se 2.85-2.91, 2 Pt 2.89
Tm  0.0934  0.1868  0.8798  5 Se 2.82-3.14
Tm  0.9071  0.8141  0.3795  5 Se 2.82-3.14
Tm  0.7977  0.5954  0.8185  3 Se 2.85-2.91, 2 Pt 2.89
Tm  0.3621  0.7243  0.9619  6 Se 2.76-2.84
Tm  0.4598  0.9196  0.2499  2 Pt 2.82, 2 Se 2.86
Tm  0.9085  0.8169  0.1199  5 Se 2.82-3.13
Tm  0.7967  0.5934  0.6816  3 Se 2.85-2.91, 2 Pt 2.89
Tm  0.5408  0.0816  0.7499  2 Pt 2.82, 2 Se 2.86
Tm  0.3611  0.7223  0.5382  6 Se 2.76-2.84
Tm  0.2038  0.4077  0.1816  3 Se 2.85-2.91, 2 Pt 2.89
Se  0.9997  0.9994  0.4999  6 Tm 2.83-3.14
Se  0.0009  0.0018  0.0000  6 Tm 2.83-3.14
Se  0.2796  0.5592  0.4291  6 Tm 2.81-2.85
Se  0.4441  0.8882  0.6435  6 Tm 2.76-2.91
Se  0.7200  0.4401  0.5709  6 Tm 2.81-2.85
Se  0.7210  0.4420  0.9292  6 Tm 2.81-2.85
Se  0.5555  0.1109  0.3566  6 Tm 2.76-2.91
Se  0.2806  0.5612  0.0709  6 Tm 2.81-2.85
Se  0.5565  0.1130  0.1435  6 Tm 2.76-2.91
Se  0.4451  0.8901  0.8566  6 Tm 2.76-2.91

No. 7
## LiMoIr (GGA-PBE)

Data for a geometry-optimized LiMoIr structure.

ΔH_f (0 K), meV per atom: -28

abc: 4.5271 4.5271 4.5271
angles: 144.92 126.72 65.41
With the nearest neighbours (Å) after each atom.
Fractional positions:
Ir  0.9975  0.9975  0.0000  5 Mo 2.53-2.76, 5 Li 2.58-2.74, 2 Ir 2.73
Li  0.3367  0.3367  0.0000  5 Mo 2.51-2.77, 5 Ir 2.58-2.74, 2 Li 2.73
Mo  0.6658  0.6658  0.0000  5 Li 2.51-2.77, 5 Ir 2.53-2.76, 2 Mo 2.73

No. 8
## BeNbCu (GGA-PBE)

Data for a geometry-optimized BeNbCu structure.

ΔH_f (0 K), meV per atom: 323

abc: 3.8949 3.8949 3.8949
angles: 60.00 60.00 60.00
With the nearest neighbours (Å) after each atom.
Fractional positions:
Be  0.0000  0.0000  0.0000  4 Nb 2.39, 4 Cu 2.39
Cu  0.7500  0.7500  0.7500  4 Be 2.39
Nb  0.2500  0.2500  0.2500  4 Be 2.39

No. 9
## TmZrCdHg (GGA-PBE)

Data for a geometry-optimized TmZrCdHg structure.

ΔH_f (0 K), meV per atom: -192

abc: 5.0918 5.0918 5.0918
angles: 60.00 60.00 60.00
With the nearest neighbours (Å) after each atom.
Fractional positions:
Cd  0.7500  0.7500  0.7500  4 Zr 3.12, 4 Tm 3.12
Tm  0.5000  0.5000  0.5000  4 Hg 3.12, 4 Cd 3.12
Zr  0.0000  0.0000  0.0000  4 Cd 3.12, 4 Hg 3.12
Hg  0.2500  0.2500  0.2500  4 Zr 3.12, 4 Tm 3.12

No. 10
## CaHg3Au8 (GGA-PBE)

Data for a geometry-optimized CaHg3Au8 structure.

ΔH_f (0 K), meV per atom: -182

abc: 5.6781 5.6781 9.6118
angles: 72.82 72.82 60.00
With the nearest neighbours (Å) after each atom.
Fractional positions:
Hg  0.0015  0.0015  0.9956  12 Au 3.24-3.33, 1 Ca 3.44, 3 Hg 3.46
Hg  0.4989  0.4989  0.5033  12 Au 3.28-3.33, 1 Hg 3.35, 3 Ca 3.47
Hg  0.3752  0.3752  0.8744  12 Au 3.28-3.33, 4 Hg 3.35-3.46
Au  0.4376  0.9361  0.1887  6 Au 2.79-2.85
Au  0.4376  0.4376  0.1887  6 Au 2.79-2.85
Au  0.1874  0.1874  0.4378  6 Au 2.78-2.79
Au  0.9361  0.4376  0.1887  6 Au 2.79-2.85
Au  0.9373  0.9373  0.6864  6 Au 2.78-2.85
Au  0.9373  0.4390  0.6864  6 Au 2.78-2.85
Au  0.4390  0.9373  0.6864  6 Au 2.78-2.85
Au  0.6875  0.6875  0.9375  6 Au 2.80
Ca  0.8746  0.8746  0.3762  12 Au 3.24-3.33, 4 Hg 3.44-3.47